--- 1 ---
Entry from the Alexandria database: NpMn2Os after structural relaxation (PBE-GGA).

Lattice parameters (Å, degrees): 2.6963 2.6963 26.9262 90.00 90.00 120.00
Space group R-3m (No. 166, hexagonal axes)
Symmetry-distinct sites (fractional):
Np 0.0000 0.0000 0.0000 (multiplicity 3)
Mn 0.0000 0.0000 0.0890 (multiplicity 6)
Os 0.0000 0.0000 0.5000 (multiplicity 3)

Properties
DOS(E_F), states/eV per atom: 2.04

--- 2 ---
Entry from the Alexandria database: NpMn2Os after structural relaxation (PBE-GGA).

Lattice parameters (Å, degrees): 3.906 3.906 3.936 90.00 90.00 90.00
Space group P4/mmm (No. 123)
Symmetry-distinct sites (fractional):
Np 0.000 0.000 0.000 (multiplicity 1)
Mn 0.000 0.500 0.500 (multiplicity 2)
Os 0.500 0.500 0.000 (multiplicity 1)

Properties
DOS(E_F), states/eV per atom: 1.53

Q: Which of them is the most stable? A: 2.